(1)
# BaTcW2, relaxed, DFT PBE
data_BaTcW2
_chemical_formula_sum 'Ba1 Tc1 W2'
_cell_length_a 3.200
_cell_length_b 4.656
_cell_length_c 5.190
_cell_angle_alpha 90.00
_cell_angle_beta 90.00
_cell_angle_gamma 90.00
_symmetry_space_group_name_H-M 'P m m m'
_symmetry_Int_Tables_number 47
_symmetry_space_group_name_Hall '-P 2 2'
loop_
_atom_site_label
_atom_site_type_symbol
_atom_site_fract_x
_atom_site_fract_y
_atom_site_fract_z
Ba1 Ba 0.000 0.000 0.000
Tc1 Tc 0.500 0.500 0.000
W1 W 0.000 0.500 0.500
W2 W 0.500 0.000 0.500
# DFT formation energy, eV per atom: 1.4733
# Offset from the most stable computed form, meV/atom: 705



(2)
# BaTc2W2, relaxed, DFT PBE
data_BaTc2W2
_chemical_formula_sum 'Ba2 Tc4 W4'
_cell_length_a 4.259
_cell_length_b 4.259
_cell_length_c 12.341
_cell_angle_alpha 90.00
_cell_angle_beta 90.00
_cell_angle_gamma 90.00
_symmetry_space_group_name_H-M 'I 4/m m m'
_symmetry_Int_Tables_number 139
_symmetry_space_group_name_Hall '-I 4 2'
loop_
_atom_site_label
_atom_site_type_symbol
_atom_site_fract_x
_atom_site_fract_y
_atom_site_fract_z
Ba1 Ba 0.000 0.000 0.000
Tc1 Tc 0.000 0.000 0.364
W1 W 0.000 0.500 0.250
# DFT formation energy, eV per atom: 0.4477
# Offset from the most stable computed form, meV/atom: 0



Which density belongs to each record? In order, 12.9; 10.4 Mg/m³.